Y2Al2Pd at its PBEsol-relaxed geometry, computed with SCAN.

As for the space group: No. 127. The calculation puts the total magnetic moment at 0.157 μB per formula unit. The calculation puts the formation energy from the elements at -0.675 eV/atom. The total energy comes out at -21.47 eV per atom. The density of states at the Fermi level is 7.9 states/eV/cell.

Unit cell a=4.5790 b=6.7864 c=6.7864 alpha=90.00 beta=90.00 gamma=90.00
With the nearest neighbours (Å) after each atom.
Fractional positions:
1 Pd 0.0000 0.0000 0.0000  4 Al 2.63
2 Pd 0.0000 0.5000 0.5000  4 Al 2.63
3 Al 0.0000 0.6384 0.1384  2 Pd 2.63, 1 Al 2.66
4 Al 0.0000 0.1384 0.3616  2 Pd 2.63, 1 Al 2.66
5 Al 0.0000 0.3616 0.8616  2 Pd 2.63, 1 Al 2.66
6 Al 0.0000 0.8616 0.6384  2 Pd 2.63, 1 Al 2.66
7 Y 0.5000 0.8321 0.3321  6 Al 2.95-3.10, 1 Y 3.22
8 Y 0.5000 0.1679 0.6679  6 Al 2.95-3.10, 1 Y 3.22
9 Y 0.5000 0.6679 0.8321  6 Al 2.95-3.10, 1 Y 3.22
10 Y 0.5000 0.3321 0.1679  6 Al 2.95-3.10, 1 Y 3.22

***

CsB5O8 at its PBEsol-relaxed geometry, computed with SCAN.

As for the space group: No. 14. The uncorrected formation energy comes out at -2.623 eV per atom. The calculation puts the total magnetic moment at 0.000 μB per formula unit. The value obtained for the relative energy among the computed polymorphs is 4 meV per atom. The total energy comes out at -11.54 eV per atom. The density of states at the Fermi level is 0.0 states/eV/cell.

Unit cell a=7.1320 b=9.7250 c=10.4024 alpha=90.00 beta=100.56 gamma=90.00
With the nearest neighbours (Å) after each atom.
Fractional positions:
1 Cs 0.9193 0.0079 0.2234  8 O 3.04-3.28
2 Cs 0.0807 0.9921 0.7766  8 O 3.04-3.28
3 Cs 0.5807 0.5079 0.2766  8 O 3.04-3.28
4 Cs 0.4193 0.4921 0.7234  8 O 3.04-3.28
5 O 0.0551 0.6482 0.5760  2 B 1.39-1.40
6 O 0.6317 0.1404 0.3830  2 B 1.39-1.40
7 O 0.7030 0.8840 0.6262  2 B 1.35-1.48
8 O 0.1317 0.3596 0.8830  2 B 1.39-1.40
9 O 0.6651 0.7085 0.9216  2 B 1.38
10 O 0.9963 0.2733 0.0613  2 B 1.35-1.47
11 O 0.6606 0.3037 0.0552  2 B 1.35-1.47
12 O 0.4963 0.2267 0.5613  2 B 1.35-1.47
13 O 0.2256 0.8592 0.0921  2 B 1.35-1.50
14 O 0.1651 0.7915 0.4216  2 B 1.38
15 O 0.1606 0.1963 0.5552  2 B 1.35-1.47
16 O 0.8349 0.2085 0.5784  2 B 1.38
17 O 0.7970 0.3840 0.8738  2 B 1.35-1.48
18 O 0.0433 0.5169 0.2897  2 B 1.36-1.37
19 O 0.5433 0.9831 0.7897  2 B 1.36-1.37
20 O 0.2970 0.1160 0.3738  2 B 1.35-1.48
21 O 0.0037 0.7267 0.9387  2 B 1.35-1.47
22 O 0.3349 0.2915 0.0784  2 B 1.38
23 O 0.2745 0.3592 0.4079  2 B 1.35-1.50
24 O 0.8683 0.6404 0.1170  2 B 1.39-1.40
25 O 0.4449 0.1482 0.9240  2 B 1.39-1.40
26 O 0.3683 0.8596 0.6170  2 B 1.39-1.40
27 O 0.5037 0.7733 0.4387  2 B 1.35-1.47
28 O 0.8394 0.8037 0.4448  2 B 1.35-1.47
29 O 0.4567 0.0169 0.2103  2 B 1.36-1.37
30 O 0.9567 0.4831 0.7103  2 B 1.36-1.37
31 O 0.9449 0.3518 0.4240  2 B 1.39-1.40
32 O 0.5551 0.8518 0.0760  2 B 1.39-1.40
33 O 0.3394 0.6963 0.9448  2 B 1.35-1.47
34 O 0.2030 0.6160 0.1262  2 B 1.35-1.48
35 O 0.7256 0.6408 0.5921  2 B 1.35-1.50
36 O 0.7744 0.1408 0.9079  2 B 1.35-1.50
37 B 0.9838 0.2508 0.5198  3 O 1.35-1.39
38 B 0.5948 0.0915 0.8719  3 O 1.35-1.40
39 B 0.9052 0.5915 0.6281  3 O 1.35-1.40
40 B 0.6511 0.1933 0.5093  3 O 1.35-1.39
41 B 0.5162 0.7508 0.9802  3 O 1.35-1.39
42 B 0.9541 0.4096 0.8218  3 O 1.35-1.40
43 B 0.1511 0.3067 0.0093  3 O 1.35-1.39
44 B 0.3073 0.2235 0.4762  4 O 1.47-1.50
45 B 0.4052 0.9085 0.1281  3 O 1.35-1.40
46 B 0.0162 0.7492 0.4802  3 O 1.35-1.39
47 B 0.0948 0.4085 0.3719  3 O 1.35-1.40
48 B 0.8073 0.2765 0.9762  4 O 1.47-1.50
49 B 0.0459 0.5904 0.1782  3 O 1.35-1.40
50 B 0.3489 0.8067 0.4907  3 O 1.35-1.39
51 B 0.4838 0.2492 0.0198  3 O 1.35-1.39
52 B 0.6927 0.7765 0.5238  4 O 1.47-1.50
53 B 0.4541 0.0904 0.3218  3 O 1.35-1.40
54 B 0.8489 0.6933 0.9907  3 O 1.35-1.39
55 B 0.5459 0.9096 0.6782  3 O 1.35-1.40
56 B 0.1927 0.7235 0.0238  4 O 1.47-1.50

***

HfMgNbHg2 at its PBEsol-relaxed geometry, computed with SCAN.

As for the space group: No. 123. The calculation puts the total magnetic moment at 0.005 μB per formula unit. The calculation puts the formation energy from the elements at 1.255 eV/atom. The total energy comes out at -46.17 eV per atom. The density of states at the Fermi level is 6.0 states/eV/cell.

Unit cell a=4.9695 b=5.1249 c=5.1249 alpha=90.00 beta=90.00 gamma=90.00
With the nearest neighbours (Å) after each atom.
Fractional positions:
1 Hf 0.5000 0.5000 0.5000  8 Hg 3.57, 4 Mg 3.62
2 Hg 0.0000 0.0000 0.5000  2 Nb 2.56
3 Hg 0.0000 0.5000 0.0000  2 Nb 2.56
4 Mg 0.5000 0.0000 0.0000  2 Nb 2.48
5 Nb 0.0000 0.0000 0.0000  2 Mg 2.48, 4 Hg 2.56

***

CoSn2PbO at its PBEsol-relaxed geometry, computed with SCAN.

As for the space group: No. 123. The uncorrected formation energy comes out at -0.178 eV per atom. The calculation puts the total magnetic moment at 0.003 μB per formula unit. The total energy comes out at -34.41 eV per atom. The density of states at the Fermi level is 2.2 states/eV/cell.

Unit cell a=3.4065 b=5.4525 c=5.4525 alpha=90.00 beta=90.00 gamma=90.00
With the nearest neighbours (Å) after each atom.
Fractional positions:
1 O 0.5000 0.0000 0.0000  2 Co 1.70
2 Sn 0.0000 0.0000 0.5000  2 Co 2.73
3 Sn 0.0000 0.5000 0.0000  2 Co 2.73
4 Pb 0.5000 0.5000 0.5000  8 Sn 3.21, 2 Pb 3.41
5 Co 0.0000 0.0000 0.0000  2 O 1.70

***

PPtAu at its PBEsol-relaxed geometry, computed with SCAN.

As for the space group: No. 216. The calculation puts the total magnetic moment at 0.000 μB per formula unit. The calculation puts the formation energy from the elements at 0.093 eV/atom. The value obtained for the relative energy among the computed polymorphs is 100 meV per atom. The total energy comes out at -49.82 eV per atom. The density of states at the Fermi level is 1.8 states/eV/cell.

Unit cell a=4.1243 b=4.1243 c=4.1243 alpha=60.00 beta=60.00 gamma=60.00
With the nearest neighbours (Å) after each atom.
Fractional positions:
1 P 0.2500 0.2500 0.2500  4 Pt 2.53, 4 Au 2.53
2 Au 0.5000 0.5000 0.5000  4 P 2.53
3 Pt 0.0000 0.0000 0.0000  4 P 2.53

***

SrBiB2 at its PBEsol-relaxed geometry, computed with SCAN.

As for the space group: No. 122. The calculation puts the total magnetic moment at 0.000 μB per formula unit. The calculation puts the formation energy from the elements at 1.009 eV/atom. The total energy comes out at -27.92 eV per atom. The density of states at the Fermi level is 6.1 states/eV/cell.

Unit cell a=6.0235 b=6.0235 c=6.0235 alpha=107.75 beta=107.75 gamma=112.96
With the nearest neighbours (Å) after each atom.
Fractional positions:
1 B 0.1250 0.6716 0.0466  2 Bi 2.44
2 B 0.3284 0.3750 0.4534  2 Bi 2.44
3 B 0.6250 0.0784 0.9534  2 Bi 2.44
4 B 0.9216 0.8750 0.5466  2 Bi 2.44
5 Sr 0.7500 0.2500 0.5000  4 B 2.88
6 Sr 0.5000 0.5000 0.0000  4 B 2.88
7 Bi 0.0000 0.0000 0.0000  4 B 2.44
8 Bi 0.2500 0.7500 0.5000  4 B 2.44

***

MnIrC2 at its PBEsol-relaxed geometry, computed with SCAN.

As for the space group: No. 225. The calculation puts the total magnetic moment at 0.535 μB per formula unit. The calculation puts the formation energy from the elements at 1.288 eV/atom. The total energy comes out at -26.10 eV per atom. The density of states at the Fermi level is 1.7 states/eV/cell.

Unit cell a=3.6471 b=3.6471 c=3.6471 alpha=60.00 beta=60.00 gamma=60.00
With the nearest neighbours (Å) after each atom.
Fractional positions:
1 C 0.2500 0.2500 0.2500  4 Mn 2.23, 4 Ir 2.23
2 C 0.7500 0.7500 0.7500  4 Mn 2.23, 4 Ir 2.23
3 Mn 0.0000 0.0000 0.0000  8 C 2.23
4 Ir 0.5000 0.5000 0.5000  8 C 2.23

***

ReP3Ru at its PBEsol-relaxed geometry, computed with SCAN.

As for the space group: No. 221. The calculation puts the total magnetic moment at 1.508 μB per formula unit. The calculation puts the formation energy from the elements at 1.441 eV/atom. The total energy comes out at -25.98 eV per atom. The density of states at the Fermi level is 3.2 states/eV/cell.

Unit cell a=4.4381 b=4.4381 c=4.4381 alpha=90.00 beta=90.00 gamma=90.00
With the nearest neighbours (Å) after each atom.
Fractional positions:
1 P 0.0000 0.0000 0.5000  2 Ru 2.22
2 P 0.0000 0.5000 0.0000  2 Ru 2.22
3 P 0.5000 0.0000 0.0000  2 Ru 2.22
4 Re 0.5000 0.5000 0.5000  12 P 3.14
5 Ru 0.0000 0.0000 0.0000  6 P 2.22